The following is a DFT calculation (PBE) of a geometry-optimized CrNi2Ir structure.

Output
D(E_F): 5.04 states/eV per cell
E_tot: -30.3 eV/cell
Symmetry: No. 25
DFT formation energy: -0.3 eV/f.u.

Unit cell a=3.581 b=2.625 c=5.760 alpha=62.96 beta=90.00 gamma=90.00
Last column: magnetic moment on the atom in μB.
Element x y z (fractional)
Cr (0.000, 0.504, 0.495)  0.57
Ni (0.500, 0.256, 0.244)  -0.02
Ni (0.000, 0.983, 0.017)  -0.10
Ir (0.500, 0.756, 0.744)  -0.10

=====

The following is a DFT calculation (PBE) of a geometry-optimized TaCr2Tc structure.

Output
D(E_F): 2.71 states/eV per cell
E_tot: -41.7 eV/cell
Symmetry: No. 99
DFT formation energy: -0.2 eV/f.u.

Unit cell a=3.036 b=3.036 c=6.103 alpha=90.00 beta=90.00 gamma=90.00
Element x y z (fractional)
Tc (0.500, 0.500, 0.766)
Ta (0.000, 0.000, 0.492)
Cr (0.000, 0.000, 0.008)
Cr (0.500, 0.500, 0.234)

=====

The following is a DFT calculation (PBE) of a geometry-optimized Pa3P2S structure.

Output
D(E_F): 28.41 states/eV per cell
E_tot: -208.1 eV/cell
Symmetry: No. 70
Energy relative to the elements, uncorrected: -1.43 eV/atom

Unit cell a=6.861 b=6.861 c=12.369 alpha=100.80 beta=100.80 gamma=108.91
Element x y z (fractional)
Pa (0.750, 0.750, 0.000)
Pa (0.584, 0.584, 0.667)
Pa (0.500, 0.000, 0.500)
Pa (0.250, 0.250, 0.000)
Pa (0.416, 0.416, 0.333)
Pa (0.666, 0.166, 0.833)
Pa (0.917, 0.917, 0.333)
Pa (0.000, 0.500, 0.500)
Pa (0.083, 0.083, 0.667)
Pa (0.834, 0.334, 0.167)
Pa (0.167, 0.667, 0.833)
Pa (0.333, 0.833, 0.167)
P (0.667, 0.167, 0.334)
P (0.250, 0.250, 0.501)
P (0.000, 0.500, 0.999)
P (0.417, 0.417, 0.834)
P (0.750, 0.750, 0.499)
P (0.833, 0.333, 0.666)
P (0.583, 0.583, 0.166)
P (0.500, 0.000, 0.001)
S (0.917, 0.917, 0.833)
S (0.167, 0.667, 0.333)
S (0.333, 0.833, 0.667)
S (0.083, 0.083, 0.167)

=====

The following is a DFT calculation (PBE) of a geometry-optimized CsRb2LaBr6 structure.

Output
D(E_F): 0.00 states/eV per cell
E_tot: -35.6 eV/cell
Symmetry: No. 225
Energy relative to the elements, uncorrected: -1.79 eV/atom

Unit cell a=8.964 b=8.964 c=8.964 alpha=60.00 beta=60.00 gamma=90.00
Element x y z (fractional)
Rb (0.250, 0.750, 0.500)
Rb (0.750, 0.250, 0.500)
Cs (0.500, 0.500, 0.000)
Br (0.231, 0.769, 0.000)
Br (0.231, 0.231, 0.000)
Br (0.769, 0.769, 0.000)
Br (0.769, 0.231, 0.000)
Br (0.231, 0.231, 0.538)
Br (0.769, 0.769, 0.462)
La (0.000, 0.000, 0.000)

=====

> The highest E_tot belongs to which entry?

CrNi2Ir

=====

> The lowest D(E_F) belongs to which entry?

CsRb2LaBr6

=====

> Which formula does entry 1 have?

CrNi2Ir